Entry 1:
The following is a DFT calculation (PBE-GGA) of AlSe3I after structural relaxation.

Structure (CIF):
```
data_AlSe3I
_chemical_formula_sum 'Al1 Se3 I1'
_cell_length_a 5.437
_cell_length_b 5.437
_cell_length_c 5.437
_cell_angle_alpha 90.00
_cell_angle_beta 90.00
_cell_angle_gamma 90.00
_symmetry_space_group_name_H-M 'P m -3 m'
_symmetry_Int_Tables_number 221
_symmetry_space_group_name_Hall '-P 4 2 3'
loop_
_atom_site_label
_atom_site_fract_x
_atom_site_fract_y
_atom_site_fract_z
Al1 0.000 0.000 0.000
Se1 0.000 0.500 0.500
I1 0.500 0.500 0.500
```

## Properties
Uncorrected formation energy in meV/atom: 762
ΔE to the lowest computed polymorph in meV per atom: 593.0
Raw total energy in eV per atom: -2.388



Entry 2:
The following is a DFT calculation (PBE-GGA) of Al2SeI2 after structural relaxation.

Structure (CIF):
```
data_Al2SeI2
_chemical_formula_sum 'Al4 Se2 I4'
_cell_length_a 5.996
_cell_length_b 5.996
_cell_length_c 7.646
_cell_angle_alpha 90.00
_cell_angle_beta 90.00
_cell_angle_gamma 90.00
_symmetry_space_group_name_H-M 'I 4/m m m'
_symmetry_Int_Tables_number 139
_symmetry_space_group_name_Hall '-I 4 2'
loop_
_atom_site_label
_atom_site_fract_x
_atom_site_fract_y
_atom_site_fract_z
Al1 0.000 0.000 0.179
Se1 0.000 0.000 0.500
I1 0.000 0.500 0.250
```

## Properties
Uncorrected formation energy in meV/atom: -96
Raw total energy in eV per atom: -2.910



Entry 3:
The following is a DFT calculation (PBE-GGA) of AlSe3I after structural relaxation.

Structure (CIF):
```
data_AlSe3I
_chemical_formula_sum 'Al1 Se3 I1'
_cell_length_a 4.975
_cell_length_b 4.975
_cell_length_c 4.975
_cell_angle_alpha 90.00
_cell_angle_beta 90.00
_cell_angle_gamma 90.00
_symmetry_space_group_name_H-M 'P m -3 m'
_symmetry_Int_Tables_number 221
_symmetry_space_group_name_Hall '-P 4 2 3'
loop_
_atom_site_label
_atom_site_fract_x
_atom_site_fract_y
_atom_site_fract_z
Al1 0.000 0.000 0.000
Se1 0.000 0.000 0.500
I1 0.500 0.500 0.500
```

## Properties
Uncorrected formation energy in meV/atom: 169
ΔE to the lowest computed polymorph in meV per atom: 0.0
Raw total energy in eV per atom: -2.981



Entry 4:
The following is a DFT calculation (PBE-GGA) of Al2SeI8 after structural relaxation.

Structure (CIF):
```
data_Al2SeI8
_chemical_formula_sum 'Al4 Se2 I16'
_cell_length_a 14.559
_cell_length_b 10.528
_cell_length_c 7.757
_cell_angle_alpha 90.00
_cell_angle_beta 96.87
_cell_angle_gamma 90.00
_symmetry_space_group_name_H-M 'C 1 2/m 1'
_symmetry_Int_Tables_number 12
_symmetry_space_group_name_Hall '-C 2y'
loop_
_atom_site_label
_atom_site_fract_x
_atom_site_fract_y
_atom_site_fract_z
Al1 0.213 0.000 0.200
Se1 0.000 0.000 0.000
I1 0.114 0.500 0.728
I2 0.128 0.197 0.294
I3 0.167 0.000 0.855
```

## Properties
Uncorrected formation energy in meV/atom: -373
Raw total energy in eV per atom: -2.498